Entry from the Open Quantum Materials Database: AcAgNO after structural relaxation (GGA-PBE).

abc: 4.0301 5.8647 5.6470
angles: 90.00 90.00 90.00
Positions (direct):
Ac: 0.0000 0.5201 0.1891
Ac: 0.0000 0.0201 0.8109
Ag: 0.5000 0.0072 0.3377
Ag: 0.5000 0.5072 0.6623
N: 0.0000 0.9345 0.3492
N: 0.0000 0.4345 0.6508
O: 0.5000 0.2922 0.0579
O: 0.5000 0.7922 0.9421

E_tot   -47.33 eV for the cell shown
Calculated volume   16.68 Å³ per atom
E above lowest polymorph   116 meV per atom